A plane-wave DFT calculation with PBE was carried out for crystalline TlCdRh2 at its relaxed geometry.

a b c (Å): 8.852 3.102 5.351
angles (deg): 90.00 101.81 90.00
Space group C2/m (No. 12)
One atom of each set of equivalent atoms:
Tl (0.000, 0.000, 0.000) (multiplicity 2)
Cd (0.000, 0.500, 0.500) (multiplicity 2)
Rh (0.249, 0.500, 0.257) (multiplicity 4)

Properties
energy relative to the lowest polymorph listed for this composition	0.1817	eV per atom
theoretical density	12.1	g/cm³



A plane-wave DFT calculation with PBE was carried out for crystalline Tb3Pr4DyTe8 at its relaxed geometry.

a b c (Å): 8.8021 8.8021 22.2967
angles (deg): 90.00 90.00 120.00
Space group R-3m (No. 166, hexagonal axes)
One atom of each set of equivalent atoms:
Tb (0.0000, 0.5000, 0.0000) (multiplicity 9)
Pr (0.0000, 0.0000, 0.5000) (multiplicity 3)
Pr (0.0000, 0.5000, 0.5000) (multiplicity 9)
Dy (0.0000, 0.0000, 0.0000) (multiplicity 3)
Te (0.0000, 0.0000, 0.2545) (multiplicity 6)
Te (0.0008, 0.5004, 0.7453) (multiplicity 18)

Properties
formation energy without anion corrections	-31.6	kcal/mol of atoms
theoretical density	7.4	g/cm³



A plane-wave DFT calculation with PBE was carried out for crystalline SrGa3B at its relaxed geometry.

a b c (Å): 5.856 5.856 5.856
angles (deg): 90.00 90.00 90.00
Space group Pm-3m (No. 221)
One atom of each set of equivalent atoms:
Sr (0.000, 0.000, 0.000) (multiplicity 1)
Ga (0.000, 0.000, 0.500) (multiplicity 3)
B (0.500, 0.500, 0.500) (multiplicity 1)

Properties
energy relative to the lowest polymorph listed for this composition	1.5669	eV per atom
theoretical density	2.5	g/cm³



A plane-wave DFT calculation with PBE was carried out for crystalline Nd4Tm at its relaxed geometry.

a b c (Å): 3.650 3.650 25.692
angles (deg): 90.00 90.00 90.00
Space group I4/mmm (No. 139)
One atom of each set of equivalent atoms:
Nd (0.000, 0.000, 0.097) (multiplicity 4)
Nd (0.000, 0.000, 0.302) (multiplicity 4)
Tm (0.000, 0.000, 0.500) (multiplicity 2)

Properties
energy relative to the lowest polymorph listed for this composition	0.0058	eV per atom
theoretical density	7.2	g/cm³



A plane-wave DFT calculation with PBE was carried out for crystalline DyCdCuIr at its relaxed geometry.

a b c (Å): 6.686 6.686 6.686
angles (deg): 90.00 90.00 90.00
Space group F-43m (No. 216)
One atom of each set of equivalent atoms:
Dy (0.000, 0.000, 0.000) (multiplicity 4)
Cd (0.000, 0.000, 0.500) (multiplicity 4)
Cu (0.250, 0.250, 0.750) (multiplicity 4)
Ir (0.250, 0.250, 0.250) (multiplicity 4)

Properties
VASP energy	-4.899	eV/atom
theoretical density	11.8	g/cm³



A plane-wave DFT calculation with PBE was carried out for crystalline Mg2BeTcN4 at its relaxed geometry.

a b c (Å): 6.350 5.686 5.114
angles (deg): 90.00 90.00 90.00
Space group Pmn2_1 (No. 31)
One atom of each set of equivalent atoms:
Mg (0.248, 0.170, 0.000) (multiplicity 4)
Be (0.000, 0.345, 0.508) (multiplicity 2)
Tc (0.000, 0.658, 0.006) (multiplicity 2)
N (0.000, 0.364, 0.850) (multiplicity 2)
N (0.000, 0.629, 0.368) (multiplicity 2)
N (0.243, 0.192, 0.417) (multiplicity 4)

Properties
formation energy without anion corrections	-11.8	kcal/mol of atoms
theoretical density	3.8	g/cm³



no.,volume (Å³/atom)
1,18.0
2,31.2
3,40.2
4,34.2
5,18.7
6,11.5